Material: Hg3OsPb
Method: DFT, GGA-PBE
State: relaxed

abc: 5.244 5.244 5.244
angles: 90.00 90.00 90.00
Site moments in Bohr magnetons follow the coordinates.
Atoms (fractional coordinates):
Pb 0.500 0.500 0.500  0.00
Os 0.000 0.000 0.000  0.32
Hg 0.000 0.500 0.000  0.00
Hg 0.000 0.000 0.500  0.01
Hg 0.500 0.000 0.000  0.00

N(E_F) = 0.766 states/eV per atom
Mass density = 11.5 g/cm3
Total magnetic moment = 0.317 μB/f.u.
Energy of formation from the pure elements = 0.7207 eV/atom

***

Material: LaYSc2S4
Method: DFT, GGA-PBE
State: relaxed

abc: 3.819 6.776 6.685
angles: 71.11 90.00 90.00
Atoms (fractional coordinates):
La 0.500 0.500 0.000
Y 0.000 0.500 0.500
Sc 0.000 0.000 0.000
Sc 0.500 0.000 0.500
S 0.000 0.779 0.732
S 0.000 0.221 0.268
S 0.500 0.773 0.250
S 0.500 0.227 0.750

N(E_F) = 0.626 states/eV per atom
Mass density = 4.5 g/cm3
Total magnetic moment = 0.000 μB/f.u.
Energy relative to the elements, uncorrected = -1.945 eV/atom

***

Material: Tb5Hf3N8
Method: DFT, GGA-PBE
State: relaxed

abc: 6.724 6.724 6.769
angles: 60.22 60.22 60.00
Atoms (fractional coordinates):
Tb 0.500 0.000 0.000
Tb 0.500 0.500 0.000
Tb 0.000 0.000 0.000
Tb 0.000 0.500 0.000
Tb 0.500 0.500 0.500
Hf 0.500 0.000 0.500
Hf 0.000 0.000 0.500
Hf 0.000 0.500 0.500
N 0.250 0.250 0.730
N 0.250 0.770 0.730
N 0.770 0.250 0.730
N 0.759 0.759 0.724
N 0.750 0.750 0.270
N 0.750 0.230 0.270
N 0.230 0.750 0.270
N 0.241 0.241 0.276

N(E_F) = 0.151 states/eV per atom
Mass density = 11.0 g/cm3
Total magnetic moment = 0.000 μB/f.u.
Energy relative to the elements, uncorrected = -1.747 eV/atom

***

What is the N(E_F) in the first record?
0.766 states/eV per atom

***

Which of these has the highest N(E_F)?
Hg3OsPb

***

What is the formula in the second record?
LaYSc2S4

***

N(E_F) of number 2 (LaYSc2S4)?
0.626 states/eV per atom